Entry 1:
A plane-wave DFT calculation with PBE was carried out for a geometry-optimized LaGdAs structure.

Unit cell a=7.0484 b=7.0484 c=7.0484 alpha=90.00 beta=90.00 gamma=90.00
Space group F-43m (No. 216)
One atom of each set of equivalent atoms:
La: 0.0000 0.0000 0.0000 (multiplicity 4)
Gd: 0.0000 0.0000 0.5000 (multiplicity 4)
As: 0.2500 0.2500 0.7500 (multiplicity 4)

---

Entry 2:
A plane-wave DFT calculation with PBE was carried out for a geometry-optimized PrSmFe structure.

Its energy above the lowest structure with this stoichiometry is 0.000 eV per atom. The calculation puts the formation energy at 278 meV per atom.

Unit cell a=6.7950 b=6.7950 c=6.7950 alpha=90.00 beta=90.00 gamma=90.00
Space group F-43m (No. 216)
One atom of each set of equivalent atoms:
Pr: 0.0000 0.0000 0.0000 (multiplicity 4)
Sm: 0.0000 0.0000 0.5000 (multiplicity 4)
Fe: 0.2500 0.2500 0.2500 (multiplicity 4)

---

Entry 3:
A plane-wave DFT calculation with PBE was carried out for a geometry-optimized NaSbPdSe3 structure.

Unit cell a=7.7603 b=3.9220 c=10.0943 alpha=90.00 beta=105.27 gamma=90.00
Space group P2_1/m (No. 11)
One atom of each set of equivalent atoms:
Na: 0.2411 0.2500 0.2038 (multiplicity 2)
Sb: 0.2051 0.7500 0.6390 (multiplicity 2)
Pd: 0.4064 0.2500 0.8878 (multiplicity 2)
Se: 0.0721 0.7500 0.3593 (multiplicity 2)
Se: 0.2655 0.7500 0.9752 (multiplicity 2)
Se: 0.4666 0.2500 0.6449 (multiplicity 2)

---

Entry 4:
A plane-wave DFT calculation with PBE was carried out for a geometry-optimized AcZnPO structure.

Its energy above the lowest structure with this stoichiometry is 0.129 eV per atom.

Unit cell a=5.1468 b=4.1793 c=7.1820 alpha=90.00 beta=90.00 gamma=90.00
Space group Pmc2_1 (No. 26)
One atom of each set of equivalent atoms:
Ac: 0.0000 0.2487 0.0000 (multiplicity 2)
Zn: 0.5000 0.2518 0.3382 (multiplicity 2)
P: 0.5000 0.2485 0.6727 (multiplicity 2)
O: 0.0000 0.2515 0.3348 (multiplicity 2)

---

Entry 5:
A plane-wave DFT calculation with PBE was carried out for a geometry-optimized LaYCd structure.

Its energy above the lowest structure with this stoichiometry is 0.201 eV per atom. The calculation puts the formation energy at 60 meV per atom.

Unit cell a=7.4366 b=7.4366 c=7.4366 alpha=90.00 beta=90.00 gamma=90.00
Space group F-43m (No. 216)
One atom of each set of equivalent atoms:
La: 0.0000 0.0000 0.0000 (multiplicity 4)
Y: 0.0000 0.0000 0.5000 (multiplicity 4)
Cd: 0.2500 0.2500 0.2500 (multiplicity 4)

---

Entry 6:
A plane-wave DFT calculation with PBE was carried out for a geometry-optimized Sm2Ni7 structure.

The calculation puts the formation energy at -344 meV per atom.

Unit cell a=4.9666 b=4.9666 c=24.2780 alpha=90.00 beta=90.00 gamma=120.00
Space group P6_3/mmc (No. 194)
One atom of each set of equivalent atoms:
Sm: 0.3333 0.6667 0.0297 (multiplicity 4)
Sm: 0.3333 0.6667 0.1743 (multiplicity 4)
Ni: 0.0000 0.0000 0.0000 (multiplicity 2)
Ni: 0.0000 0.0000 0.1685 (multiplicity 4)
Ni: 0.1669 0.3337 0.5867 (multiplicity 12)
Ni: 0.1668 0.3336 0.7500 (multiplicity 6)
Ni: 0.3333 0.6667 0.6679 (multiplicity 4)

---

Entry 7:
A plane-wave DFT calculation with PBE was carried out for a geometry-optimized LiPaAsO structure.

Its energy above the lowest structure with this stoichiometry is 1.656 eV per atom.

Unit cell a=4.2593 b=4.2593 c=7.6442 alpha=90.00 beta=90.00 gamma=90.00
Space group P4/nmm (No. 129, origin choice 2)
One atom of each set of equivalent atoms:
Li: 0.2500 0.2500 0.0809 (multiplicity 2)
Pa: 0.2500 0.7500 0.5000 (multiplicity 2)
As: 0.2500 0.2500 0.7590 (multiplicity 2)
O: 0.2500 0.7500 0.0000 (multiplicity 2)

---

Entry 8:
A plane-wave DFT calculation with PBE was carried out for a geometry-optimized CuHgHPd2 structure.

Unit cell a=4.0880 b=4.0880 c=3.9636 alpha=90.00 beta=90.00 gamma=90.00
Space group P4/mmm (No. 123)
One atom of each set of equivalent atoms:
Cu: 0.0000 0.0000 0.0000 (multiplicity 1)
Hg: 0.5000 0.5000 0.0000 (multiplicity 1)
H: 0.0000 0.0000 0.5000 (multiplicity 1)
Pd: 0.0000 0.5000 0.5000 (multiplicity 2)

---

Entry 9:
A plane-wave DFT calculation with PBE was carried out for a geometry-optimized LiHfAu2 structure.

Unit cell a=6.5011 b=6.5011 c=6.5011 alpha=90.00 beta=90.00 gamma=90.00
Space group F-43m (No. 216)
One atom of each set of equivalent atoms:
Li: 0.0000 0.0000 0.0000 (multiplicity 4)
Hf: 0.2500 0.2500 0.2500 (multiplicity 4)
Au: 0.0000 0.0000 0.5000 (multiplicity 4)
Au: 0.2500 0.2500 0.7500 (multiplicity 4)

---

Entry 10:
A plane-wave DFT calculation with PBE was carried out for a geometry-optimized KInW structure.

Its energy above the lowest structure with this stoichiometry is 0.000 eV per atom.

Unit cell a=7.1935 b=7.1935 c=7.1935 alpha=90.00 beta=90.00 gamma=90.00
Space group F-43m (No. 216)
One atom of each set of equivalent atoms:
K: 0.0000 0.0000 0.0000 (multiplicity 4)
In: 0.2500 0.2500 0.2500 (multiplicity 4)
W: 0.0000 0.0000 0.5000 (multiplicity 4)

---

Entry 11:
A plane-wave DFT calculation with PBE was carried out for a geometry-optimized TmZrAsO structure.

Its energy above the lowest structure with this stoichiometry is 0.000 eV per atom.

Unit cell a=4.1365 b=4.1365 c=8.6311 alpha=90.00 beta=90.00 gamma=90.00
Space group P4mm (No. 99)
One atom of each set of equivalent atoms:
Tm: 0.0000 0.0000 0.0000 (multiplicity 1)
Tm: 0.5000 0.5000 0.2184 (multiplicity 1)
Zr: 0.0000 0.5000 0.6081 (multiplicity 2)
As: 0.0000 0.0000 0.4047 (multiplicity 1)
As: 0.5000 0.5000 0.8114 (multiplicity 1)
O: 0.0000 0.5000 0.1092 (multiplicity 2)

---

Entry 12:
A plane-wave DFT calculation with PBE was carried out for a geometry-optimized Mg2Zr3 structure.

Unit cell a=5.9551 b=5.9551 c=11.0336 alpha=90.00 beta=90.00 gamma=120.00
Space group R-3m (No. 166, hexagonal axes)
One atom of each set of equivalent atoms:
Mg: 0.0000 0.0000 0.1164 (multiplicity 6)
Zr: 0.0000 0.5000 0.0000 (multiplicity 9)

---

Taking the records one at a time from the top gives uncorrected energy values of -16.71; -16.96; -23.35; -22.63; -12.10; -51.50; -20.24; -18.41; -19.75; -11.42; -30.42; -27.07 eV/f.u..